# 1
Tl2Te at its PBEsol-relaxed geometry. Source: Alexandria via LeMat-Bulk, functional SCAN.

Computed properties:
Space-group type = No. 63
Crystal system = orthorhombic
E_form (uncorrected) = -0.20 eV/atom
Polymorph energy (0 for the lowest one) = 0.28 eV/f.u.

Cell: 4.4524 5.7176 7.6769 Å, 90.00 106.86 90.00°
Closest atoms and distances in Å follow each position.
Element x y z (fractional)
Te  0.1054  0.2500  0.2107  6 Tl 3.19-3.47
Te  0.8946  0.7500  0.7893  6 Tl 3.19-3.47
Tl  0.4353  0.2500  0.8705  6 Te 3.35-3.67, 4 Tl 3.39-3.43
Tl  0.2387  0.7500  0.4774  4 Te 3.19-3.47, 2 Tl 3.39
Tl  0.7613  0.2500  0.5226  4 Te 3.19-3.47, 2 Tl 3.39
Tl  0.5647  0.7500  0.1295  6 Te 3.35-3.67, 4 Tl 3.39-3.43

---

# 2
La2MoW at its PBEsol-relaxed geometry. Source: Alexandria via LeMat-Bulk, functional SCAN.

Computed properties:
Space-group type = No. 99
Energy of formation = 1.253 eV/f.u.
Crystal system = tetragonal
Polymorph energy (0 for the lowest one) = 0.00 eV/f.u.

Cell: 3.2559 3.2559 8.9515 Å, 90.00 90.00 90.00°
Closest atoms and distances in Å follow each position.
Element x y z (fractional)
La  0.5000  0.5000  0.3134  4 Mo 3.13, 4 La 3.26, 1 W 3.43
Mo  0.0000  0.0000  0.5501  4 W 2.65
W  0.5000  0.5000  0.6969  4 Mo 2.65
La  0.0000  0.0000  0.9396  4 W 3.17, 4 La 3.26, 1 Mo 3.49

---

# 3
Na2RuC at its PBEsol-relaxed geometry. Source: Alexandria via LeMat-Bulk, functional SCAN.

Computed properties:
Space-group type = No. 122
Energy of formation = 3.008 eV/f.u.
Crystal system = tetragonal

Cell: 3.7762 7.0318 7.0318 Å, 85.87 74.42 74.42°
Closest atoms and distances in Å follow each position.
Element x y z (fractional)
Ru  0.0000  0.0000  0.0000  2 C 1.89
Na  0.3750  0.1631  0.3369  2 C 2.58
Na  0.2881  0.3369  0.8369  2 C 2.58
Ru  0.7500  0.5000  0.5000  2 C 1.89
Na  0.8750  0.8369  0.6631  2 C 2.58
C  0.2500  0.5000  0.5000  2 Ru 1.89
Na  0.4619  0.6631  0.1631  2 C 2.58
C  0.5000  0.0000  0.0000  2 Ru 1.89

---

# 4
YTiCd3 at its PBEsol-relaxed geometry. Source: Alexandria via LeMat-Bulk, functional SCAN.

Computed properties:
Space-group type = No. 221
Energy of formation = 5.595 eV/f.u.
Crystal system = cubic

Cell: 5.4978 5.4978 5.4978 Å, 90.00 90.00 90.00°
Closest atoms and distances in Å follow each position.
Element x y z (fractional)
Y  0.0000  0.0000  0.0000  6 Cd 2.75
Cd  0.5000  0.0000  0.0000  2 Y 2.75
Cd  0.0000  0.0000  0.5000  2 Y 2.75
Ti  0.5000  0.5000  0.5000  12 Cd 3.89
Cd  0.0000  0.5000  0.0000  2 Y 2.75

---

# 5
Mg5Ti13O30 at its PBEsol-relaxed geometry. Source: Alexandria via LeMat-Bulk, functional SCAN.

Computed properties:
Space-group type = No. 6
Crystal system = monoclinic
E_form (uncorrected) = -3.28 eV/atom

Cell: 5.2022 9.9977 10.5555 Å, 90.00 96.28 90.00°
Closest atoms and distances in Å follow each position.
Element x y z (fractional)
O  0.1504  0.1814  0.7702  4 Ti 1.97-2.16
O  0.3717  0.0000  0.9184  3 Ti 1.95-2.09, 1 Mg 2.09
O  0.7416  0.6390  0.6526  2 Ti 1.82-1.94, 1 Mg 2.02
O  0.5216  0.3135  0.8952  2 Ti 1.92-1.95
O  0.4112  0.3633  0.3180  2 Ti 1.80-2.00, 1 Mg 2.00
O  0.7416  0.3610  0.6526  2 Ti 1.82-1.94, 1 Mg 2.02
O  0.4762  0.1848  0.1033  2 Ti 1.92-1.96
Ti  0.3389  0.0000  0.7328  6 O 1.93-2.12
Ti  0.4383  0.6827  0.7131  4 O 1.82-1.99
O  0.0763  0.3635  0.9834  2 Ti 1.83-1.94, 1 Mg 2.00
Mg  0.6631  0.5000  0.2683  6 O 2.00-2.20
O  0.8555  0.3111  0.2293  3 Ti 1.93-2.16
O  0.5846  0.8706  0.6835  3 Ti 1.89-2.06
O  0.5216  0.6865  0.8952  2 Ti 1.92-1.95
Mg  0.0055  0.0000  0.3975  6 O 1.99-2.17
Ti  0.5562  0.8177  0.2887  5 O 1.81-2.00
Mg  0.3302  0.5000  0.9353  6 O 2.00-2.18
O  0.0446  0.0000  0.5986  3 Ti 1.97-2.06, 1 Mg 2.11
O  0.6399  0.5000  0.0730  2 Ti 2.00, 2 Mg 2.05
Ti  0.8907  0.1881  0.6192  6 O 1.89-2.09
O  0.2565  0.8636  0.3491  2 Ti 1.81-1.98, 1 Mg 1.99
Ti  0.4383  0.3173  0.7131  4 O 1.82-1.99
O  0.4112  0.6367  0.3180  2 Ti 1.80-2.00, 1 Mg 2.00
O  0.3025  0.5000  0.7381  2 Ti 1.99, 2 Mg 2.06-2.07
O  0.5846  0.1294  0.6835  3 Ti 1.89-2.06
Ti  0.5562  0.1823  0.2887  5 O 1.81-2.00
Mg  0.6741  0.0000  0.0656  6 O 2.00-2.17
O  0.0763  0.6365  0.9834  2 Ti 1.83-1.94, 1 Mg 2.00
O  0.1846  0.3104  0.5633  3 Ti 1.95-2.09
O  0.9726  0.5000  0.4062  2 Ti 2.01, 2 Mg 2.04-2.05
O  0.1504  0.8186  0.7702  4 Ti 1.97-2.16
O  0.6962  0.0000  0.2601  2 Ti 2.00, 2 Mg 2.04
O  0.1846  0.6896  0.5633  3 Ti 1.95-2.09
O  0.9245  0.8639  0.0149  2 Ti 1.80-2.00, 1 Mg 2.00
O  0.2565  0.1364  0.3491  2 Ti 1.81-1.98, 1 Mg 1.99
Ti  0.2218  0.8120  0.9575  4 O 1.80-1.97
O  0.8089  0.1831  0.4395  2 Ti 1.90-1.95
Ti  0.2218  0.1880  0.9575  4 O 1.80-1.97
O  0.4762  0.8152  0.1033  2 Ti 1.92-1.96
Ti  0.7746  0.6840  0.0455  5 O 1.83-2.00
O  0.8555  0.6889  0.2293  3 Ti 1.93-2.16
Ti  0.8907  0.8119  0.6192  6 O 1.89-2.09
Ti  0.1114  0.3163  0.3767  5 O 1.80-2.01
Ti  0.7746  0.3160  0.0455  5 O 1.83-2.00
Ti  0.1114  0.6837  0.3767  5 O 1.80-2.01
Mg  0.9908  0.5000  0.5998  6 O 2.02-2.20
O  0.8089  0.8169  0.4395  2 Ti 1.90-1.95
O  0.9245  0.1361  0.0149  2 Ti 1.80-2.00, 1 Mg 2.00

---

# 6
CaGe2O5 at its PBEsol-relaxed geometry. Source: Alexandria via LeMat-Bulk, functional SCAN.

Computed properties:
Space-group type = No. 15
Crystal system = monoclinic
E_form (uncorrected) = -2.28 eV/atom

Cell: 5.4888 5.4888 6.8916 Å, 103.66 103.66 106.60°
Closest atoms and distances in Å follow each position.
Element x y z (fractional)
O  0.9047  0.3094  0.1014  2 Ge 1.76-1.94
O  0.0953  0.6906  0.8986  2 Ge 1.76-1.94
O  0.6906  0.0953  0.3986  2 Ge 1.76-1.94
Ca  0.6704  0.3296  0.7500  7 O 2.28-2.50
Ge  0.6850  0.3150  0.2500  4 O 1.76
O  0.7516  0.6333  0.4286  2 Ge 1.76-1.95
O  0.0709  0.9291  0.2500  2 Ge 1.83
O  0.6333  0.7516  0.9286  2 Ge 1.76-1.95
Ca  0.3296  0.6704  0.2500  7 O 2.28-2.50
Ge  0.3150  0.6850  0.7500  4 O 1.76
Ge  0.0000  0.0000  0.5000  6 O 1.83-1.95
O  0.3667  0.2484  0.0714  2 Ge 1.76-1.95
O  0.9291  0.0709  0.7500  2 Ge 1.83
O  0.2484  0.3667  0.5714  2 Ge 1.76-1.95
O  0.3094  0.9047  0.6014  2 Ge 1.76-1.94
Ge  0.0000  0.0000  0.0000  6 O 1.83-1.95

---

# 7
SbP2AuCl at its PBEsol-relaxed geometry. Source: Alexandria via LeMat-Bulk, functional SCAN.

Computed properties:
Space-group type = No. 123
Crystal system = tetragonal
E_form (uncorrected) = 1.07 eV/atom

Cell: 4.9226 5.0367 5.0367 Å, 90.00 90.00 90.00°
Closest atoms and distances in Å follow each position.
Element x y z (fractional)
P  0.0000  0.5000  0.0000  2 Sb 2.52
Sb  0.0000  0.0000  0.0000  2 Cl 2.46, 4 P 2.52
Au  0.5000  0.5000  0.5000  8 P 3.52, 4 Cl 3.56
P  0.0000  0.0000  0.5000  2 Sb 2.52
Cl  0.5000  0.0000  0.0000  2 Sb 2.46

---

# 8
Mo3Ru at its PBEsol-relaxed geometry. Source: Alexandria via LeMat-Bulk, functional SCAN.

Computed properties:
Space-group type = No. 65
Energy of formation = 1.122 eV/f.u.
Crystal system = orthorhombic

Cell: 2.7611 4.7798 4.7798 Å, 109.46 90.00 90.00°
Closest atoms and distances in Å follow each position.
Element x y z (fractional)
Ru  0.0000  0.5000  0.5000  10 Mo 2.76, 2 Ru 2.76
Mo  0.5000  0.5000  0.0000  8 Mo 2.76, 4 Ru 2.76
Mo  0.5000  0.0000  0.5000  8 Mo 2.76, 4 Ru 2.76
Mo  0.0000  0.0000  0.0000  2 Ru 2.76, 10 Mo 2.76

---

# 9
CdNiCl2 at its PBEsol-relaxed geometry. Source: Alexandria via LeMat-Bulk, functional SCAN.

Computed properties:
Space-group type = No. 71
Crystal system = orthorhombic
E_form (uncorrected) = -0.56 eV/atom

Cell: 3.1738 4.8408 6.0954 Å, 113.40 105.09 90.00°
Closest atoms and distances in Å follow each position.
Element x y z (fractional)
Cl  0.3454  0.3454  0.6908  2 Ni 2.30
Ni  0.0000  0.5000  0.0000  4 Cl 2.30
Cl  0.6546  0.6546  0.3092  2 Ni 2.30
Cd  0.5000  0.0000  0.0000  4 Ni 2.89, 4 Cl 2.93, 2 Cd 3.17

---

# 10
Ba2AgPt at its PBEsol-relaxed geometry. Source: Alexandria via LeMat-Bulk, functional SCAN.

Computed properties:
Space-group type = No. 38
Energy of formation = -2.281 eV/f.u.
Crystal system = orthorhombic

Cell: 4.4621 4.7107 6.3094 Å, 90.00 110.71 90.00°
Closest atoms and distances in Å follow each position.
Element x y z (fractional)
Pt  0.4451  0.5000  0.8902  2 Ag 2.85
Ba  0.0126  0.0000  0.0252  3 Ag 3.28-3.50, 4 Pt 3.34
Ba  0.7335  0.5000  0.4670  3 Pt 3.35-3.40, 4 Ag 3.36
Ag  0.3088  0.0000  0.6177  2 Pt 2.85

---

N(E_F) per entry: 2.00; 4.89; 4.38; 5.07; 8.04; 0.00; 2.44; 3.89; 0.78; 2.27 states/eV per cell